# NaZnPO, relaxed, DFT PBE-GGA
data_NaZnPO
_cell_length_a 3.1263
_cell_length_b 8.3056
_cell_length_c 4.7315
_cell_angle_alpha 90.00
_cell_angle_beta 90.00
_cell_angle_gamma 90.00
_space_group_name_H-M_alt 'P 1'
_space_group_IT_number 1
_space_group_name_Hall 'P 1'
loop_
_atom_site_label
_atom_site_fract_x
_atom_site_fract_y
_atom_site_fract_z
Na1 0.0000 0.1240 0.0000
Na2 0.0000 0.8760 0.5000
Zn1 0.5000 0.2787 0.4998
Zn2 0.5000 0.7213 0.9998
P1 0.5000 0.4428 0.0014
P2 0.5000 0.5572 0.5014
O1 0.0000 0.1452 0.5001
O2 0.0000 0.8548 0.0001
# Excess energy over the best structure of this formula in the dataset: 0 meV per atom
# Final energy: -3.973 eV/atom